Entry from Alexandria: a geometry-optimized HgPt2Au structure (PBEsol).

The structure belongs to space group I4/mmm (No. 139); the cell edges are 4.144, 4.144 and 7.704 Å and the angles 90.00°, 90.00° and 90.00°. The distinct sites, in fractional coordinates, are Hg at (0.000, 0.000, 0.000), Pt at (0.000, 0.500, 0.250) and Au at (0.000, 0.000, 0.500).

For the formation energy, the calculation gives 25 meV per atom. For the total magnetization, the calculation gives 0.00 μB/f.u. Its mass density is 19.77 Mg/m³.


Entry from Alexandria: a geometry-optimized HgPt2Au structure (PBEsol).

The structure belongs to space group Pmm2 (No. 25); the cell edges are 2.851, 3.983 and 5.840 Å and the angles 90.00°, 90.00° and 90.00°. The distinct sites, in fractional coordinates, are Hg at (0.000, 0.000, 0.000), Pt at (0.000, 0.000, 0.491), Pt at (0.500, 0.500, 0.252) and Au at (0.500, 0.500, 0.732).

For the formation energy, the calculation gives 48 meV per atom. For the total magnetization, the calculation gives 0.00 μB/f.u. Its mass density is 19.73 Mg/m³.


Entry from Alexandria: a geometry-optimized Rb3HgAu structure (PBEsol).

The structure belongs to space group Pm-3m (No. 221); the cell edges are 6.542, 6.542 and 6.542 Å and the angles 90.00°, 90.00° and 90.00°. The distinct sites, in fractional coordinates, are Rb at (0.000, 0.000, 0.500), Hg at (0.000, 0.000, 0.000) and Au at (0.500, 0.500, 0.500).

For the formation energy, the calculation gives 211 meV per atom. For the total magnetization, the calculation gives 0.00 μB/f.u. Its mass density is 3.88 Mg/m³.


Entry from Alexandria: a geometry-optimized RbHg2Au2 structure (PBEsol).

The structure belongs to space group I4/mmm (No. 139); the cell edges are 5.017, 5.017 and 10.519 Å and the angles 90.00°, 90.00° and 90.00°. The distinct sites, in fractional coordinates, are Rb at (0.000, 0.000, 0.000), Hg at (0.000, 0.000, 0.366) and Au at (0.000, 0.500, 0.250).

For the formation energy, the calculation gives -97 meV per atom. For the total magnetization, the calculation gives 0.00 μB/f.u. Its mass density is 11.05 Mg/m³.


Entry from Alexandria: a geometry-optimized Rb2HgAu2 structure (PBEsol).

The structure belongs to space group P4/mbm (No. 127); the cell edges are 7.625, 7.625 and 5.091 Å and the angles 90.00°, 90.00° and 90.00°. The distinct sites, in fractional coordinates, are Rb at (0.174, 0.326, 0.000), Hg at (0.000, 0.000, 0.500) and Au at (0.128, 0.628, 0.500).

For the formation energy, the calculation gives -141 meV per atom. For the total magnetization, the calculation gives 0.00 μB/f.u. Its mass density is 8.59 Mg/m³.


Entry from Alexandria: a geometry-optimized Rb2HgAu2 structure (PBEsol).

The structure belongs to space group I4/mmm (No. 139); the cell edges are 6.524, 6.524 and 8.041 Å and the angles 90.00°, 90.00° and 90.00°. The distinct sites, in fractional coordinates, are Rb at (0.000, 0.500, 0.250), Hg at (0.000, 0.000, 0.000) and Au at (0.000, 0.000, 0.337).

For the formation energy, the calculation gives -127 meV per atom. For the total magnetization, the calculation gives 0.00 μB/f.u. Its mass density is 7.43 Mg/m³.


Entry from Alexandria: a geometry-optimized ReHg2Au structure (PBEsol).

The structure belongs to space group P4/mmm (No. 123); the cell edges are 4.198, 4.198 and 3.998 Å and the angles 90.00°, 90.00° and 90.00°. The distinct sites, in fractional coordinates, are Re at (0.000, 0.000, 0.000), Hg at (0.000, 0.500, 0.500) and Au at (0.500, 0.500, 0.000).

For the formation energy, the calculation gives 676 meV per atom. For the total magnetization, the calculation gives 0.31 μB/f.u. Its mass density is 18.49 Mg/m³.


Entry from Alexandria: a geometry-optimized ReHg2Au structure (PBEsol).

The structure belongs to space group Pmmm (No. 47); the cell edges are 2.821, 4.971 and 5.155 Å and the angles 90.00°, 90.00° and 90.00°. The distinct sites, in fractional coordinates, are Re at (0.000, 0.000, 0.000), Hg at (0.000, 0.500, 0.500), Hg at (0.500, 0.500, 0.000) and Au at (0.500, 0.000, 0.500).

For the formation energy, the calculation gives 685 meV per atom. For the total magnetization, the calculation gives 0.75 μB/f.u. Its mass density is 18.02 Mg/m³.